Below is an optimized crystal structure of NdSm4Ru2, with properties calculated at the PBE level.

Calculated values
offset from the most stable computed form = 0.00 eV per formula unit
space-group type = P1
Fermi-level density of states = 10.93 states/eV per cell
mass density = 7.93 g cm⁻³
formation energy = -0.17 eV/atom
total magnetic moment = 0.00 μB per formula unit

a b c (Å): 6.6159 7.7638 8.7702
angles (deg): 100.56 105.30 107.58
With the nearest neighbours (Å) after each atom.
Element x y z (fractional)
Nd 0.0000 0.0000 0.0000  1 Ru 2.81
Nd 0.2482 0.9211 0.4037  3 Ru 2.83-2.95
Sm 0.0092 0.4996 0.9779  2 Ru 2.75-2.78
Sm 0.2590 0.4295 0.3758  4 Ru 2.90-3.17
Sm 0.4808 0.0790 0.8240  3 Ru 2.90-3.02
Sm 0.4866 0.5628 0.8087  3 Ru 2.85-3.02
Sm 0.6163 0.7506 0.2400  1 Ru 2.68
Sm 0.6276 0.2192 0.2533  2 Ru 2.70-2.86
Sm 0.9118 0.6376 0.5987  3 Ru 2.82-2.91
Sm 0.9436 0.1507 0.6341  2 Ru 2.78-2.88
Ru 0.3370 0.3417 0.0328  5 Sm 2.78-3.06, 1 Nd 2.81
Ru 0.5876 0.2965 0.6007  6 Sm 2.85-3.09, 1 Nd 2.95
Ru 0.5996 0.8171 0.5959  6 Sm 2.78-3.11, 1 Nd 2.91
Ru 0.8969 0.5616 0.2574  5 Sm 2.68-2.91, 1 Nd 2.83

Below is an optimized crystal structure of Ca2YAgO5, with properties calculated at the PBE level.

Calculated values
formation energy (no corrections) = -2215 meV per atom
offset from the most stable computed form = 0.10 eV per formula unit
space-group type = Cc
mass density = 4.34 g cm⁻³
total magnetic moment = 0.00 μB per formula unit

a b c (Å): 7.8505 7.8505 6.7233
angles (deg): 105.65 105.65 43.56
With the nearest neighbours (Å) after each atom.
Element x y z (fractional)
Ca 0.0601 0.5331 0.1234  6 O 2.30-2.48
Ca 0.2251 0.7749 0.5000  6 O 2.31-2.46
Ca 0.5331 0.0601 0.6234  6 O 2.30-2.48
Ca 0.7749 0.2251 0.0000  6 O 2.31-2.46
Y 0.4360 0.8236 0.1543  4 O 2.14-2.28
Y 0.8236 0.4360 0.6543  4 O 2.14-2.28
Ag 0.1599 0.6437 0.8062  4 O 2.04-2.11
Ag 0.6437 0.1599 0.3062  4 O 2.04-2.11
O 0.1517 0.3760 0.7571  1 Ag 2.08, 1 Y 2.19, 1 Ca 2.33
O 0.1546 0.9253 0.8685  1 Ag 2.11, 1 Y 2.28, 1 Ca 2.31
O 0.3760 0.1517 0.2571  1 Ag 2.08, 1 Y 2.19, 1 Ca 2.33
O 0.4033 0.5023 0.1841  1 Ag 2.11
O 0.5023 0.4033 0.6841  1 Ag 2.11
O 0.5298 0.7603 0.4945  2 Y 2.14-2.28, 2 Ca 2.30-2.32
O 0.7603 0.5298 0.9945  2 Y 2.14-2.28, 2 Ca 2.30-2.32
O 0.8255 0.8821 0.9183  1 Ag 2.04
O 0.8821 0.8255 0.4183  1 Ag 2.04
O 0.9253 0.1546 0.3685  1 Ag 2.11, 1 Y 2.28, 1 Ca 2.31

Below is an optimized crystal structure of ScCuBi3, with properties calculated at the PBE level.

Calculated values
offset from the most stable computed form = 0.00 eV per formula unit
space-group type = Pm-3m
Fermi-level density of states = 4.09 states/eV per cell
mass density = 8.42 g cm⁻³
formation energy = 0.29 eV/atom
total magnetic moment = 0.00 μB per formula unit

a b c (Å): 5.2551 5.2551 5.2551
angles (deg): 90.00 90.00 90.00
With the nearest neighbours (Å) after each atom.
Element x y z (fractional)
Sc 0.0000 0.0000 0.0000  12 Bi 3.72
Cu 0.5000 0.5000 0.5000  6 Bi 2.63
Bi 0.0000 0.5000 0.5000  2 Cu 2.63
Bi 0.5000 0.0000 0.5000  2 Cu 2.63
Bi 0.5000 0.5000 0.0000  2 Cu 2.63

Below is an optimized crystal structure of KTi3Sn, with properties calculated at the PBE level.

Calculated values
offset from the most stable computed form = 0.00 eV per formula unit
space-group type = Pm-3m
Fermi-level density of states = 7.86 states/eV per cell
mass density = 3.25 g cm⁻³
formation energy = 1.04 eV/atom
total magnetic moment = 6.99 μB per formula unit

a b c (Å): 5.3581 5.3581 5.3581
angles (deg): 90.00 90.00 90.00
With the nearest neighbours (Å) after each atom.
Element x y z (fractional)
K 0.0000 0.0000 0.0000  12 Ti 3.79
Ti 0.0000 0.5000 0.5000  2 Sn 2.68
Ti 0.5000 0.0000 0.5000  2 Sn 2.68
Ti 0.5000 0.5000 0.0000  2 Sn 2.68
Sn 0.5000 0.5000 0.5000  6 Ti 2.68

Below is an optimized crystal structure of Nd2HfScP4, with properties calculated at the PBE level.

Calculated values
space-group type = P2/m
Fermi-level density of states = 1.51 states/eV per cell
mass density = 6.11 g cm⁻³
formation energy = -1.46 eV/atom
total magnetic moment = 0.00 μB per formula unit

a b c (Å): 6.8067 3.9314 6.8430
angles (deg): 90.00 109.27 90.00
With the nearest neighbours (Å) after each atom.
Element x y z (fractional)
Nd 0.0000 0.0000 0.0000  6 P 2.88-2.89
Nd 0.5000 0.5000 0.0000  6 P 2.90
Hf 0.0000 0.5000 0.5000  6 P 2.67-2.68
Sc 0.5000 0.0000 0.5000  6 P 2.69-2.70
P 0.2384 0.0000 0.7218  2 Hf 2.68, 1 Sc 2.69, 3 Nd 2.88-2.90
P 0.2563 0.5000 0.2775  1 Hf 2.67, 2 Sc 2.70, 3 Nd 2.89-2.90
P 0.7437 0.5000 0.7225  1 Hf 2.67, 2 Sc 2.70, 3 Nd 2.89-2.90
P 0.7616 0.0000 0.2782  2 Hf 2.68, 1 Sc 2.69, 3 Nd 2.88-2.90

Below is an optimized crystal structure of OsRhC3, with properties calculated at the PBE level.

Calculated values
offset from the most stable computed form = 0.00 eV per formula unit
space-group type = Pm-3m
Fermi-level density of states = 2.59 states/eV per cell
mass density = 8.83 g cm⁻³
formation energy = 2.02 eV/atom
total magnetic moment = 0.00 μB per formula unit

a b c (Å): 3.9561 3.9561 3.9561
angles (deg): 90.00 90.00 90.00
With the nearest neighbours (Å) after each atom.
Element x y z (fractional)
Os 0.0000 0.0000 0.0000  6 C 1.98
Rh 0.5000 0.5000 0.5000  12 C 2.80
C 0.0000 0.0000 0.5000  2 Os 1.98
C 0.0000 0.5000 0.0000  2 Os 1.98
C 0.5000 0.0000 0.0000  2 Os 1.98

Below is an optimized crystal structure of DyHoNi, with properties calculated at the PBE level.

Calculated values
offset from the most stable computed form = 0.44 eV per formula unit
space-group type = F-43m
Fermi-level density of states = 2.65 states/eV per cell
mass density = 8.59 g cm⁻³
formation energy = -0.17 eV/atom
total magnetic moment = 0.00 μB per formula unit

a b c (Å): 4.7253 4.7253 4.7253
angles (deg): 60.00 60.00 60.00
With the nearest neighbours (Å) after each atom.
Element x y z (fractional)
Dy 0.0000 0.0000 0.0000  4 Ni 2.89
Ho 0.5000 0.5000 0.5000  4 Ni 2.89
Ni 0.2500 0.2500 0.2500  4 Ho 2.89, 4 Dy 2.89

Below is an optimized crystal structure of CePm4Sm3, with properties calculated at the PBE level.

Calculated values
space-group type = C2/m
Fermi-level density of states = 13.27 states/eV per cell
mass density = 7.13 g cm⁻³
formation energy = 0.24 eV/atom
total magnetic moment = 0.73 μB per formula unit

a b c (Å): 12.8214 12.8214 6.2182
angles (deg): 95.78 95.78 15.55
With the nearest neighbours (Å) after each atom.
Element x y z (fractional)
Ce 0.0000 0.0000 0.0000  4 Pm 3.37, 2 Ce 3.47, 4 Sm 3.56
Pm 0.2213 0.2213 0.2357  1 Sm 3.44, 6 Pm 3.44-3.82
Pm 0.3958 0.3958 0.7660  3 Sm 3.26, 2 Ce 3.37, 4 Pm 3.44-3.47
Pm 0.6042 0.6042 0.2340  3 Sm 3.26, 2 Ce 3.37, 4 Pm 3.44-3.47
Pm 0.7787 0.7787 0.7643  1 Sm 3.44, 6 Pm 3.44-3.82
Sm 0.3570 0.3570 0.2491  3 Pm 3.26-3.44, 2 Sm 3.47
Sm 0.5000 0.5000 0.5000  2 Pm 3.26, 2 Sm 3.47, 4 Ce 3.56
Sm 0.6430 0.6430 0.7509  3 Pm 3.26-3.44, 2 Sm 3.47

Below is an optimized crystal structure of Mg2As, with properties calculated at the PBE level.

Calculated values
space-group type = Cmcm
Fermi-level density of states = 1.58 states/eV per cell
mass density = 3.31 g cm⁻³
formation energy = -0.37 eV/atom
total magnetic moment = 0.00 μB per formula unit

a b c (Å): 5.8122 5.8122 5.7597
angles (deg): 90.00 90.00 140.36
With the nearest neighbours (Å) after each atom.
Element x y z (fractional)
Mg 0.0000 0.0000 0.0000  4 As 2.81, 2 Mg 2.88
Mg 0.0000 0.0000 0.5000  4 As 2.81, 2 Mg 2.88
Mg 0.3033 0.6967 0.7500  4 As 2.75-2.98
Mg 0.6967 0.3033 0.2500  4 As 2.75-2.98
As 0.3719 0.6281 0.2500  8 Mg 2.75-2.98
As 0.6281 0.3719 0.7500  8 Mg 2.75-2.98

Below is an optimized crystal structure of Th2AlIr3, with properties calculated at the PBE level.

Calculated values
space-group type = R-3m
Fermi-level density of states = 4.63 states/eV per cell
mass density = 15.39 g cm⁻³
formation energy = -0.91 eV/atom
total magnetic moment = 0.00 μB per formula unit

a b c (Å): 5.2509 5.2509 5.2509
angles (deg): 65.77 65.77 65.77
With the nearest neighbours (Å) after each atom.
Element x y z (fractional)
Th 0.1262 0.1262 0.1262  9 Ir 3.03-3.24, 1 Th 3.10, 3 Al 3.33
Th 0.8738 0.8738 0.8738  9 Ir 3.03-3.24, 1 Th 3.10, 3 Al 3.33
Al 0.5000 0.5000 0.5000  6 Ir 2.63
Ir 0.0000 0.5000 0.5000  2 Al 2.63, 4 Ir 2.85
Ir 0.5000 0.0000 0.5000  2 Al 2.63, 4 Ir 2.85
Ir 0.5000 0.5000 0.0000  2 Al 2.63, 4 Ir 2.85

Below is an optimized crystal structure of HoB4Ir, with properties calculated at the PBE level.

Calculated values
space-group type = Pbam
Fermi-level density of states = 3.45 states/eV per cell
mass density = 10.80 g cm⁻³
formation energy = -0.61 eV/atom
total magnetic moment = 0.00 μB per formula unit

a b c (Å): 5.9622 11.5730 3.5700
angles (deg): 90.00 90.00 90.00
With the nearest neighbours (Å) after each atom.
Element x y z (fractional)
Ho 0.1315 0.1487 0.0000  14 B 2.63-2.77
Ho 0.3685 0.6487 0.0000  14 B 2.63-2.77
Ho 0.6315 0.3513 0.0000  14 B 2.63-2.77
Ho 0.8685 0.8513 0.0000  14 B 2.63-2.77
B 0.0238 0.6923 0.5000  3 B 1.77-1.88
B 0.1124 0.5468 0.5000  3 B 1.72-1.77
B 0.1363 0.9694 0.5000  3 B 1.75-1.87
B 0.2082 0.8123 0.5000  3 B 1.77-1.88
B 0.2918 0.3123 0.5000  3 B 1.77-1.88
B 0.3637 0.4694 0.5000  3 B 1.75-1.87
B 0.3876 0.0468 0.5000  3 B 1.72-1.77
B 0.4762 0.1923 0.5000  3 B 1.77-1.88
B 0.5238 0.8077 0.5000  3 B 1.77-1.88
B 0.6124 0.9532 0.5000  3 B 1.72-1.77
B 0.6363 0.5306 0.5000  3 B 1.75-1.87
B 0.7082 0.6877 0.5000  3 B 1.77-1.88
B 0.7918 0.1877 0.5000  3 B 1.77-1.88
B 0.8637 0.0306 0.5000  3 B 1.75-1.87
B 0.8876 0.4532 0.5000  3 B 1.72-1.77
B 0.9762 0.3077 0.5000  3 B 1.77-1.88
Ir 0.1445 0.4031 0.0000  10 B 2.25-2.45
Ir 0.3555 0.9031 0.0000  10 B 2.25-2.45
Ir 0.6445 0.0969 0.0000  10 B 2.25-2.45
Ir 0.8555 0.5969 0.0000  10 B 2.25-2.45

Below is an optimized crystal structure of CsTe2W, with properties calculated at the PBE level.

Calculated values
formation energy (no corrections) = 841 meV per atom
offset from the most stable computed form = 3.02 eV per formula unit
space-group type = R-3m
Fermi-level density of states = 3.24 states/eV per cell
mass density = 8.35 g cm⁻³
total magnetic moment = 0.77 μB per formula unit

a b c (Å): 11.7771 11.7771 11.7771
angles (deg): 16.42 16.42 16.42
With the nearest neighbours (Å) after each atom.
Element x y z (fractional)
Cs 0.0000 0.0000 0.0000  6 Cs 3.36, 6 Te 3.71
Te 0.4241 0.4241 0.4241  1 W 2.65
Te 0.5759 0.5759 0.5759  1 W 2.65
W 0.5000 0.5000 0.5000  2 Te 2.65

mass density of number 10 (Th2AlIr3)?
15.39 g cm⁻³